# Th3Co4Ni4

Th3Co4Ni4 after structural relaxation (PBE, Alexandria).

Computed properties:
The density of states at the Fermi level comes out at 1.306 states/eV/atom. The formation enthalpy at 0 K is -0.064 eV/atom. For the total magnetic moment, the calculation gives 2.8 μB/f.u.

Lattice parameters (Å, degrees): 7.1822 7.1822 7.1822 90.00 90.00 90.00
Space group I-43m (No. 217)
Inequivalent atoms, fractional coordinates:
Th: 0.0000 0.0000 0.5000 (multiplicity 6)
Co: 0.2010 0.2010 0.7990 (multiplicity 8)
Ni: 0.1197 0.1197 0.1197 (multiplicity 8)